First-principles (PBE-GGA) data for an optimized crystal structure of CrPbS2, as listed in Alexandria.

Computed properties:
crystal system = trigonal
magnetic moment = 4.00 Bohr magnetons per cell
mass density = 5.5 g cm⁻³
ΔE_f (raw) = -1.53 eV per formula unit

a b c (Å): 3.9672 3.9672 7.1627
angles (deg): 90.00 90.00 120.00
With the nearest neighbours (Å) after each atom.
Space group P3m1 (No. 156)
Symmetry-distinct sites (fractional):
Cr 0.0000 0.0000 0.0000 (multiplicity 1)  4 S 2.37-2.40
Pb 0.6667 0.3333 0.5481 (multiplicity 1)  3 S 2.77
S 0.0000 0.0000 0.3305 (multiplicity 1)  1 Cr 2.37
S 0.3333 0.6667 0.9007 (multiplicity 1)  3 Cr 2.40